1.
HoMgHg6 | PBE-GGA | relaxed

a = 6.567 Å, b = 6.567 Å, c = 4.993 Å
α = 90.00°, β = 90.00°, γ = 120.00°
Fractional coordinates of all 8 atoms:
Hg 0.496 0.504 0.000
Hg 0.833 0.666 0.500
Hg 0.334 0.167 0.500
Hg 0.008 0.504 0.000
Hg 0.496 0.992 0.000
Hg 0.833 0.167 0.500
Ho 0.000 0.000 0.000
Mg 0.333 0.667 0.500

Total energy = -1.18 eV/atom
Size of the total moment = 0.02 μB/cell
Volume = 23.3 Å³/atom

=====

2.
HoMgHg | PBE-GGA | relaxed

a = 4.818 Å, b = 4.818 Å, c = 4.818 Å
α = 60.00°, β = 60.00°, γ = 60.00°
Fractional coordinates of all 3 atoms:
Mg 0.000 0.000 0.000
Hg 0.250 0.250 0.250
Ho 0.750 0.750 0.750

Total energy = -2.05 eV/atom
Size of the total moment = 0.00 μB/cell
Volume = 26.4 Å³/atom

=====

3.
Nd2HoMg3Tl2Hg | PBE-GGA | relaxed

a = 4.679 Å, b = 7.597 Å, c = 7.597 Å
α = 119.20°, β = 90.00°, γ = 90.00°
Fractional coordinates of all 9 atoms:
Tl 0.500 0.335 0.661
Tl 0.500 0.661 0.335
Mg 0.500 0.764 0.764
Mg 0.500 0.238 0.000
Mg 0.500 0.000 0.238
Nd 0.000 0.580 0.998
Nd 0.000 0.998 0.580
Hg 0.000 0.009 0.009
Ho 0.000 0.416 0.416

Total energy = -3.03 eV/atom
Size of the total moment = 0.01 μB/cell
Volume = 26.2 Å³/atom

=====

4.
NdHo2Mg3Tl2Hg | PBE-GGA | relaxed

a = 4.638 Å, b = 7.596 Å, c = 7.596 Å
α = 120.88°, β = 90.00°, γ = 90.00°
Fractional coordinates of all 9 atoms:
Nd 0.000 0.422 0.422
Tl 0.500 0.332 0.673
Tl 0.500 0.673 0.332
Ho 0.000 0.002 0.582
Ho 0.000 0.582 0.002
Mg 0.500 0.238 0.000
Mg 0.500 0.761 0.761
Mg 0.500 0.000 0.238
Hg 0.000 0.991 0.991

Total energy = -3.00 eV/atom
Size of the total moment = 0.01 μB/cell
Volume = 25.5 Å³/atom

=====

5.
Ho3Mg3HgPt2 | PBE-GGA | relaxed

a = 7.484 Å, b = 7.484 Å, c = 4.080 Å
α = 90.00°, β = 90.00°, γ = 120.00°
Fractional coordinates of all 9 atoms:
Ho 0.580 0.000 0.000
Ho 0.420 0.420 0.000
Ho 0.000 0.580 0.000
Hg 0.000 0.000 0.000
Mg 0.742 0.742 0.500
Mg 0.000 0.258 0.500
Mg 0.258 0.000 0.500
Pt 0.333 0.667 0.500
Pt 0.667 0.333 0.500

Total energy = -4.17 eV/atom
Size of the total moment = 0.01 μB/cell
Volume = 22.0 Å³/atom

=====

6.
Ho3Mg3Hg2Pt | PBE-GGA | relaxed

a = 7.588 Å, b = 7.588 Å, c = 4.222 Å
α = 90.00°, β = 90.00°, γ = 120.00°
Fractional coordinates of all 9 atoms:
Mg 0.237 0.000 0.500
Mg 0.000 0.237 0.500
Mg 0.763 0.763 0.500
Ho 0.605 0.000 0.000
Ho 0.000 0.605 0.000
Ho 0.395 0.395 0.000
Hg 0.667 0.333 0.500
Hg 0.333 0.667 0.500
Pt 0.000 0.000 0.000

Total energy = -3.35 eV/atom
Size of the total moment = 0.34 μB/cell
Volume = 23.4 Å³/atom